No. 1
First-principles (PBE) data for crystalline GeMo at its relaxed geometry, as listed in the Alexandria database. Values from VASP.

```
&SYSTEM
  ibrav = 0, nat = 8, ntyp = 2
/
ATOMIC_SPECIES
Mo 95.94 Mo.upf
Ge 72.64 Ge.upf
CELL_PARAMETERS angstrom
-2.2432 0.2962 -4.6166
-1.8502 -4.7600 0.5936
-4.2055 1.9047 2.1657
ATOMIC_POSITIONS crystal
Mo 0.7929 0.7929 0.0000
Mo 0.2071 0.2071 0.0000
Mo 0.2929 0.7071 0.5000
Mo 0.7071 0.2929 0.5000
Ge 0.7914 0.7914 0.5000
Ge 0.7086 0.2914 0.0000
Ge 0.2086 0.2086 0.5000
Ge 0.2914 0.7086 0.0000
```

Computed properties:
* energy relative to the elements: 412 meV/atom

=====

No. 2
First-principles (PBE) data for crystalline Sb3WBr at its relaxed geometry, as listed in the Alexandria database. Values from VASP.

```
&SYSTEM
  ibrav = 0, nat = 5, ntyp = 3
/
ATOMIC_SPECIES
Br 79.90 Br.upf
W 183.84 W.upf
Sb 121.76 Sb.upf
CELL_PARAMETERS angstrom
-2.6652 4.0728 -2.1887
-0.6665 -2.8383 -4.4700
-4.5753 -1.9590 1.9261
ATOMIC_POSITIONS crystal
Br 0.0000 0.0000 0.0000
W 0.5000 0.5000 0.5000
Sb 0.5000 0.0000 0.0000
Sb 0.0000 0.0000 0.5000
Sb 0.0000 0.5000 0.0000
```

Computed properties:
* energy above the most stable polymorph in this dataset: 1489 meV/atom
* formation energy (no corrections): 1.842 eV/atom

=====

No. 3
First-principles (PBE) data for crystalline PmTiGa5Pt2 at its relaxed geometry, as listed in the Alexandria database. Values from VASP.

```
&SYSTEM
  ibrav = 0, nat = 9, ntyp = 4
/
ATOMIC_SPECIES
Pt 195.08 Pt.upf
Ga 69.72 Ga.upf
Ti 47.87 Ti.upf
Pm 145.00 Pm.upf
CELL_PARAMETERS angstrom
4.3585 0.0000 0.0000
0.0000 4.3585 0.0000
0.0000 0.0000 10.2278
ATOMIC_POSITIONS crystal
Pt 0.5000 0.5000 0.7269
Pt 0.5000 0.5000 0.2731
Ga 0.5000 0.0000 0.1551
Ga 0.0000 0.5000 0.8449
Ga 0.0000 0.5000 0.1551
Ga 0.5000 0.5000 0.5000
Ga 0.5000 0.0000 0.8449
Ti 0.0000 0.0000 0.0000
Pm 0.0000 0.0000 0.5000
```

Computed properties:
* energy relative to the elements: -295 meV/atom

=====

No. 4
First-principles (PBE) data for crystalline NaCa2La2 at its relaxed geometry, as listed in the Alexandria database. Values from VASP.

```
&SYSTEM
  ibrav = 0, nat = 10, ntyp = 3
/
ATOMIC_SPECIES
Ca 40.08 Ca.upf
Na 22.99 Na.upf
La 138.91 La.upf
CELL_PARAMETERS angstrom
10.3724 0.0000 0.0000
0.0000 10.3724 0.0000
0.0000 0.0000 3.9122
ATOMIC_POSITIONS crystal
Ca 0.6838 0.8162 0.5000
Ca 0.3162 0.1838 0.5000
Ca 0.8162 0.3162 0.5000
Ca 0.1838 0.6838 0.5000
Na 0.5000 0.5000 0.0000
Na 0.0000 0.0000 0.0000
La 0.8938 0.6062 0.0000
La 0.1062 0.3938 0.0000
La 0.6062 0.1062 0.0000
La 0.3938 0.8938 0.0000
```

Computed properties:
* energy above the most stable polymorph in this dataset: 0 meV/atom
* energy relative to the elements: 281 meV/atom

=====

No. 5
First-principles (PBE) data for crystalline BaIrCl2 at its relaxed geometry, as listed in the Alexandria database. Values from VASP.

```
&SYSTEM
  ibrav = 0, nat = 4, ntyp = 3
/
ATOMIC_SPECIES
Ba 137.33 Ba.upf
Cl 35.45 Cl.upf
Ir 192.22 Ir.upf
CELL_PARAMETERS angstrom
-0.4607 4.0561 1.5774
-0.6242 -1.6379 4.0294
6.0550 0.2790 1.0513
ATOMIC_POSITIONS crystal
Ba 0.5000 0.5000 0.7743
Cl 0.5000 0.5000 0.2872
Cl 0.0000 0.0000 0.9037
Ir 0.0000 0.0000 0.5348
```

Computed properties:
* energy above the most stable polymorph in this dataset: 426 meV/atom
* formation energy (no corrections): -0.394 eV/atom

=====

No. 6
First-principles (PBE) data for crystalline NaMgCrBi2 at its relaxed geometry, as listed in the Alexandria database. Values from VASP.

```
&SYSTEM
  ibrav = 0, nat = 5, ntyp = 4
/
ATOMIC_SPECIES
Bi 208.98 Bi.upf
Mg 24.30 Mg.upf
Na 22.99 Na.upf
Cr 52.00 Cr.upf
CELL_PARAMETERS angstrom
-0.9348 2.6458 -4.8118
-1.2374 -4.5823 -2.2792
-5.3329 0.7262 1.4353
ATOMIC_POSITIONS crystal
Bi 0.0000 0.0000 0.5000
Bi 0.5000 0.0000 0.0000
Mg 0.0000 0.0000 0.0000
Na 0.5000 0.5000 0.5000
Cr 0.0000 0.5000 0.0000
```

Computed properties:
* energy relative to the elements: 545 meV/atom

=====

No. 7
First-principles (PBE) data for crystalline SrAgNO2 at its relaxed geometry, as listed in the Alexandria database. Values from VASP.

```
&SYSTEM
  ibrav = 0, nat = 5, ntyp = 4
/
ATOMIC_SPECIES
Ag 107.87 Ag.upf
N 14.01 N.upf
O 16.00 O.upf
Sr 87.62 Sr.upf
CELL_PARAMETERS angstrom
-1.4636 0.3769 -4.4075
4.3845 -0.4923 -1.4981
-0.6267 -4.9310 -0.2136
ATOMIC_POSITIONS crystal
Ag 0.5000 0.5000 0.5000
N 0.0000 0.0000 0.5000
O 0.5000 0.0000 0.0000
O 0.0000 0.5000 0.0000
Sr 0.0000 0.0000 0.0000
```

Computed properties:
* formation energy (no corrections): 0.614 eV/atom

=====

No. 8
First-principles (PBE) data for crystalline Rb2AsPtW at its relaxed geometry, as listed in the Alexandria database. Values from VASP.

```
&SYSTEM
  ibrav = 0, nat = 5, ntyp = 4
/
ATOMIC_SPECIES
Rb 85.47 Rb.upf
As 74.92 As.upf
W 183.84 W.upf
Pt 195.08 Pt.upf
CELL_PARAMETERS angstrom
-6.0361 -1.2803 1.7005
-0.9004 -1.6917 -4.4697
1.7682 -5.8625 1.8627
ATOMIC_POSITIONS crystal
Rb 0.5000 0.0000 0.0000
Rb 0.0000 0.0000 0.5000
As 0.5000 0.5000 0.5000
W 0.0000 0.5000 0.0000
Pt 0.0000 0.0000 0.0000
```

Computed properties:
* energy relative to the elements: 1149 meV/atom

=====

No. 9
First-principles (PBE) data for crystalline KCa3Cu at its relaxed geometry, as listed in the Alexandria database. Values from VASP.

```
&SYSTEM
  ibrav = 0, nat = 5, ntyp = 3
/
ATOMIC_SPECIES
K 39.10 K.upf
Ca 40.08 Ca.upf
Cu 63.55 Cu.upf
CELL_PARAMETERS angstrom
5.8406 0.0000 0.0000
0.0000 5.8406 0.0000
0.0000 0.0000 5.8406
ATOMIC_POSITIONS crystal
K 0.5000 0.5000 0.5000
Ca 0.5000 0.0000 0.0000
Ca 0.0000 0.0000 0.5000
Ca 0.0000 0.5000 0.0000
Cu 0.0000 0.0000 0.0000
```

Computed properties:
* energy above the most stable polymorph in this dataset: 0 meV/atom
* energy relative to the elements: 43 meV/atom

=====

No. 10
First-principles (PBE) data for crystalline EuGeBr2 at its relaxed geometry, as listed in the Alexandria database. Values from VASP.

```
&SYSTEM
  ibrav = 0, nat = 4, ntyp = 3
/
ATOMIC_SPECIES
Br 79.90 Br.upf
Eu 151.96 Eu.upf
Ge 72.64 Ge.upf
CELL_PARAMETERS angstrom
4.4269 0.0000 0.0000
2.2135 3.8338 0.0000
2.2135 1.2779 8.9213
ATOMIC_POSITIONS crystal
Br 0.8867 0.8867 0.3399
Br 0.1133 0.1133 0.6601
Eu 0.0000 0.0000 0.0000
Ge 0.5000 0.5000 0.5000
```

Computed properties:
* formation energy (no corrections): -0.396 eV/atom

=====

No. 11
First-principles (PBE) data for crystalline Li6SnPb5 at its relaxed geometry, as listed in the Alexandria database. Values from VASP.

```
&SYSTEM
  ibrav = 0, nat = 12, ntyp = 3
/
ATOMIC_SPECIES
Pb 207.20 Pb.upf
Li 6.94 Li.upf
Sn 118.71 Sn.upf
CELL_PARAMETERS angstrom
-4.1832 2.3877 -1.0157
2.4918 -3.7321 -7.3254
-1.6616 -5.0088 6.7787
ATOMIC_POSITIONS crystal
Pb 0.5000 0.8339 0.1661
Pb 0.0000 0.3339 0.6661
Pb 0.0000 0.6661 0.3339
Pb 0.5000 0.5000 0.5000
Pb 0.5000 0.1661 0.8339
Li 0.2464 0.4105 0.0816
Li 0.2464 0.0816 0.4105
Li 0.2558 0.7565 0.7565
Li 0.7536 0.5895 0.9184
Li 0.7536 0.9184 0.5895
Li 0.7442 0.2435 0.2435
Sn 0.0000 0.0000 0.0000
```

Computed properties:
* energy relative to the elements: -270 meV/atom

=====

No. 12
First-principles (PBE) data for crystalline Pr3DyGe4 at its relaxed geometry, as listed in the Alexandria database. Values from VASP.

```
&SYSTEM
  ibrav = 0, nat = 8, ntyp = 3
/
ATOMIC_SPECIES
Ge 72.64 Ge.upf
Pr 140.91 Pr.upf
Dy 162.50 Dy.upf
CELL_PARAMETERS angstrom
4.2374 0.0000 0.0000
0.0000 6.4200 -0.7435
-2.1187 -2.2764 8.4542
ATOMIC_POSITIONS crystal
Ge 0.6292 0.4368 0.2583
Ge 0.6291 0.8215 0.2583
Ge 0.3708 0.5632 0.7417
Ge 0.3709 0.1785 0.7417
Pr 0.8050 0.8051 0.6100
Pr 0.0000 0.5000 0.0000
Pr 0.1950 0.1949 0.3900
Dy 0.5000 0.0000 0.0000
```

Computed properties:
* energy relative to the elements: -678 meV/atom

=====

No. 13
First-principles (PBE) data for crystalline PmNd4Th3P8 at its relaxed geometry, as listed in the Alexandria database. Values from VASP.

```
&SYSTEM
  ibrav = 0, nat = 16, ntyp = 4
/
ATOMIC_SPECIES
P 30.97 P.upf
Nd 144.24 Nd.upf
Th 232.04 Th.upf
Pm 145.00 Pm.upf
CELL_PARAMETERS angstrom
-0.7721 6.7324 4.8140
-1.2374 -4.8705 6.6129
6.7899 -0.9995 -4.6898
ATOMIC_POSITIONS crystal
P 0.2492 0.7456 0.9963
P 0.2514 0.2543 0.5029
P 0.7471 0.7456 0.9963
P 0.2493 0.7456 0.4986
P 0.7508 0.2544 0.0037
P 0.7507 0.2544 0.5014
P 0.2529 0.2544 0.0037
P 0.7486 0.7457 0.4971
Nd 0.5000 0.0000 0.5000
Nd 0.5000 0.0000 0.0000
Nd 0.0000 0.0000 0.5000
Nd 0.0000 0.0000 0.0000
Th 0.5000 0.5000 0.5000
Th 0.0000 0.5000 0.5000
Th 0.5000 0.5000 0.0000
Pm 0.0000 0.5000 0.0000
```

Computed properties:
* energy relative to the elements: -1574 meV/atom

=====

No. 14
First-principles (PBE) data for crystalline SrHg17Pb at its relaxed geometry, as listed in the Alexandria database. Values from VASP.

```
&SYSTEM
  ibrav = 0, nat = 19, ntyp = 3
/
ATOMIC_SPECIES
Hg 200.59 Hg.upf
Pb 207.20 Pb.upf
Sr 87.62 Sr.upf
CELL_PARAMETERS angstrom
8.2686 0.7739 1.8412
1.6368 8.1418 1.8412
0.8598 0.7739 8.4273
ATOMIC_POSITIONS crystal
Hg 0.6758 0.0538 0.6758
Hg 0.7375 0.3940 0.3940
Hg 0.0538 0.6758 0.6758
Hg 0.3940 0.3940 0.7375
Hg 0.0005 0.3190 0.6836
Hg 0.6758 0.6758 0.0538
Hg 0.6836 0.0005 0.3190
Hg 0.0688 0.4381 0.0688
Hg 0.3190 0.6836 0.0005
Hg 0.3940 0.7375 0.3940
Hg 0.9163 0.9163 0.9163
Hg 0.6836 0.3190 0.0005
Hg 0.3190 0.0005 0.6836
Hg 0.0688 0.0688 0.4381
Hg 0.0005 0.6836 0.3190
Hg 0.0738 0.0738 0.0738
Hg 0.4381 0.0688 0.0688
Pb 0.3390 0.3390 0.3390
Sr 0.6580 0.6580 0.6580
```

Computed properties:
* energy relative to the elements: -70 meV/atom

=====

No. 15
First-principles (PBE) data for crystalline ScCrP3 at its relaxed geometry, as listed in the Alexandria database. Values from VASP.

```
&SYSTEM
  ibrav = 0, nat = 5, ntyp = 3
/
ATOMIC_SPECIES
P 30.97 P.upf
Sc 44.96 Sc.upf
Cr 52.00 Cr.upf
CELL_PARAMETERS angstrom
-4.0746 0.6482 2.5804
-2.3312 -3.1446 -2.8911
1.2824 -3.6568 2.9435
ATOMIC_POSITIONS crystal
P 0.0000 0.0000 0.5000
P 0.0000 0.5000 0.0000
P 0.5000 0.0000 0.0000
Sc 0.0000 0.0000 0.0000
Cr 0.5000 0.5000 0.5000
```

Computed properties:
* energy above the most stable polymorph in this dataset: 607 meV/atom
* energy relative to the elements: 662 meV/atom

=====

No. 16
First-principles (PBE) data for crystalline ScAl2Hg at its relaxed geometry, as listed in the Alexandria database. Values from VASP.

```
&SYSTEM
  ibrav = 0, nat = 4, ntyp = 3
/
ATOMIC_SPECIES
Hg 200.59 Hg.upf
Al 26.98 Al.upf
Sc 44.96 Sc.upf
CELL_PARAMETERS angstrom
4.5554 0.0000 0.0000
0.0000 3.1232 -0.0064
0.0000 0.0112 5.6025
ATOMIC_POSITIONS crystal
Hg 0.0000 0.2497 0.5065
Al 0.0000 0.2496 0.9886
Al 0.5000 0.2508 0.2405
Sc 0.5000 0.7499 0.7644
```

Computed properties:
* energy relative to the elements: -213 meV/atom

=====

No. 17
First-principles (PBE) data for crystalline TlReHg2 at its relaxed geometry, as listed in the Alexandria database. Values from VASP.

```
&SYSTEM
  ibrav = 0, nat = 4, ntyp = 3
/
ATOMIC_SPECIES
Re 186.21 Re.upf
Hg 200.59 Hg.upf
Tl 204.38 Tl.upf
CELL_PARAMETERS angstrom
-0.5461 -2.0835 -1.9480
3.8577 -2.9610 2.0855
-3.5965 -2.2675 3.4335
ATOMIC_POSITIONS crystal
Re 0.5000 0.0000 0.5000
Hg 0.5000 0.5000 0.0000
Hg 0.0000 0.0000 0.0000
Tl 0.0000 0.5000 0.5000
```

Computed properties:
* energy above the most stable polymorph in this dataset: 271 meV/atom
* energy relative to the elements: 872 meV/atom

=====

No. 18
First-principles (PBE) data for crystalline La2Ge6Mo at its relaxed geometry, as listed in the Alexandria database. Values from VASP.

```
&SYSTEM
  ibrav = 0, nat = 9, ntyp = 3
/
ATOMIC_SPECIES
Ge 72.64 Ge.upf
La 138.91 La.upf
Mo 95.94 Mo.upf
CELL_PARAMETERS angstrom
4.6906 0.0000 0.9762
0.0000 6.7291 0.0000
-0.4017 -3.3646 6.8737
ATOMIC_POSITIONS crystal
Ge 0.5000 0.8102 0.0000
Ge 0.8836 0.6507 0.6763
Ge 0.1164 0.3493 0.3237
Ge 0.1164 0.9743 0.3237
Ge 0.8836 0.0257 0.6763
Ge 0.5000 0.1898 0.0000
La 0.3919 0.3432 0.6865
La 0.6081 0.6568 0.3135
Mo 0.0000 0.0000 0.0000
```

Computed properties:
* energy relative to the elements: -207 meV/atom

=====

No. 19
First-principles (PBE) data for crystalline KIn3W at its relaxed geometry, as listed in the Alexandria database. Values from VASP.

```
&SYSTEM
  ibrav = 0, nat = 5, ntyp = 3
/
ATOMIC_SPECIES
In 114.82 In.upf
W 183.84 W.upf
K 39.10 K.upf
CELL_PARAMETERS angstrom
5.3706 0.0000 0.0000
0.0000 5.3706 0.0000
0.0000 0.0000 5.3706
ATOMIC_POSITIONS crystal
In 0.0000 0.0000 0.5000
In 0.0000 0.5000 0.0000
In 0.5000 0.0000 0.0000
W 0.0000 0.0000 0.0000
K 0.5000 0.5000 0.5000
```

Computed properties:
* energy above the most stable polymorph in this dataset: 0 meV/atom
* energy relative to the elements: 329 meV/atom

=====

No. 20
First-principles (PBE) data for crystalline Ac4PmNd at its relaxed geometry, as listed in the Alexandria database. Values from VASP.

```
&SYSTEM
  ibrav = 0, nat = 6, ntyp = 3
/
ATOMIC_SPECIES
Nd 144.24 Nd.upf
Ac 227.00 Ac.upf
Pm 145.00 Pm.upf
CELL_PARAMETERS angstrom
6.7731 0.5193 1.0273
3.3266 5.9226 1.0273
-0.9133 -0.5825 6.3087
ATOMIC_POSITIONS crystal
Nd 0.5000 0.5000 0.5000
Ac 0.3424 0.3424 0.0000
Ac 0.1574 0.1574 0.4996
Ac 0.8426 0.8426 0.5004
Ac 0.6576 0.6576 0.0000
Pm 0.0000 0.0000 0.0000
```

Computed properties:
* energy above the most stable polymorph in this dataset: 0 meV/atom
* energy relative to the elements: 111 meV/atom

=====

Looking at total moment for the records above, in order, we have 0.0; 2.6; 0.0; 0.2; 1.0; 4.6; 4.0; 1.7; 0.0; 7.4; 0.0; 0.0; 0.0; 0.0; 4.1; 0.0; 0.0; 1.2; 0.0; 0.0 Bohr magnetons per cell.